1.
VASP calculation (SCAN) on OsAu2Br at its PBEsol-relaxed geometry.

Computed properties:
relative energy among the computed polymorphs	438.2	meV per atom
volume	17.2	Å³ per atom
formation energy (no corrections)	1.093	eV/atom

The structure in CIF format:
```
data_OsAu2Br
_chemical_formula_sum 'Os1 Au2 Br1'
_space_group_name_H-M_alt 'P m m m'
_space_group_IT_number 47
_cell_length_a 2.853
_cell_length_b 4.685
_cell_length_c 5.137
_cell_angle_alpha 90.00
_cell_angle_beta 90.00
_cell_angle_gamma 90.00
loop_
_space_group_symop_operation_xyz
'x,y,z'
'-x,-y,-z'
'-x,-y,z'
'x,y,-z'
'x,-y,-z'
'-x,y,z'
'-x,y,-z'
'x,-y,z'
loop_
_atom_site_label
_atom_site_type_symbol
_atom_site_fract_x
_atom_site_fract_y
_atom_site_fract_z
Os1 Os 0.000 0.000 0.000
Au1 Au 0.000 0.500 0.500
Au2 Au 0.500 0.000 0.500
Br1 Br 0.500 0.500 0.000
```

2.
VASP calculation (SCAN) on TePdAuCl2 at its PBEsol-relaxed geometry.

Computed properties:
volume	22.5	Å³ per atom
formation energy (no corrections)	0.115	eV/atom

The structure in CIF format:
```
data_TePdAuCl2
_chemical_formula_sum 'Te1 Pd1 Au1 Cl2'
_space_group_name_H-M_alt 'P 4/m m m'
_space_group_IT_number 123
_space_group_name_Hall '-P 4 2'
_cell_length_a 4.525
_cell_length_b 4.525
_cell_length_c 5.486
_cell_angle_alpha 90.00
_cell_angle_beta 90.00
_cell_angle_gamma 90.00
loop_
_atom_site_label
_atom_site_type_symbol
_atom_site_fract_x
_atom_site_fract_y
_atom_site_fract_z
Te1 Te 0.000 0.000 0.000
Pd1 Pd 0.500 0.500 0.500
Au1 Au 0.500 0.500 0.000
Cl1 Cl 0.000 0.500 0.500
```

3.
VASP calculation (SCAN) on Na3TaCr at its PBEsol-relaxed geometry.

Computed properties:
DFT formation energy	9.25	eV/f.u.
volume	39.7	Å³ per atom

The structure in CIF format:
```
data_Na3TaCr
_chemical_formula_sum 'Na3 Ta1 Cr1'
_space_group_name_H-M_alt 'P m -3 m'
_space_group_IT_number 221
_space_group_name_Hall '-P 4 2 3'
_cell_length_a 5.832
_cell_length_b 5.832
_cell_length_c 5.832
_cell_angle_alpha 90.00
_cell_angle_beta 90.00
_cell_angle_gamma 90.00
loop_
_atom_site_label
_atom_site_type_symbol
_atom_site_fract_x
_atom_site_fract_y
_atom_site_fract_z
Na1 Na 0.000 0.000 0.500
Ta1 Ta 0.000 0.000 0.000
Cr1 Cr 0.500 0.500 0.500
```

4.
VASP calculation (SCAN) on FeAgCl at its PBEsol-relaxed geometry.

Computed properties:
volume	16.3	Å³ per atom
formation energy (no corrections)	-0.056	eV/atom

The structure in CIF format:
```
data_FeAgCl
_chemical_formula_sum 'Fe1 Ag1 Cl1'
_space_group_name_H-M_alt 'P 3 m 1'
_space_group_IT_number 156
_cell_length_a 3.0044
_cell_length_b 3.0044
_cell_length_c 6.2381
_cell_angle_alpha 90.00
_cell_angle_beta 90.00
_cell_angle_gamma 120.00
loop_
_space_group_symop_operation_xyz
'x,y,z'
'-y,x-y,z'
'-x+y,-x,z'
'-y,-x,z'
'-x+y,y,z'
'x,x-y,z'
loop_
_atom_site_label
_atom_site_type_symbol
_atom_site_fract_x
_atom_site_fract_y
_atom_site_fract_z
Fe1 Fe 0.0000 0.0000 0.0000
Ag1 Ag 0.6667 0.3333 0.6698
Cl1 Cl 0.3333 0.6667 0.2516
```

5.
VASP calculation (SCAN) on InSbTeN2 at its PBEsol-relaxed geometry.

Computed properties:
volume	21.7	Å³ per atom
formation energy (no corrections)	1.329	eV/atom

The structure in CIF format:
```
data_InSbTeN2
_chemical_formula_sum 'In1 Sb1 Te1 N2'
_space_group_name_H-M_alt 'P 4/m m m'
_space_group_IT_number 123
_space_group_name_Hall '-P 4 2'
_cell_length_a 4.314
_cell_length_b 4.314
_cell_length_c 5.820
_cell_angle_alpha 90.00
_cell_angle_beta 90.00
_cell_angle_gamma 90.00
loop_
_atom_site_label
_atom_site_type_symbol
_atom_site_fract_x
_atom_site_fract_y
_atom_site_fract_z
In1 In 0.000 0.000 0.000
Sb1 Sb 0.500 0.500 0.500
Te1 Te 0.000 0.000 0.500
N1 N 0.000 0.500 0.000
```

6.
VASP calculation (SCAN) on TlAgTe2 at its PBEsol-relaxed geometry.

Computed properties:
volume	26.3	Å³ per atom
formation energy (no corrections)	0.160	eV/atom

The structure in CIF format:
```
data_TlAgTe2
_chemical_formula_sum 'Tl1 Ag1 Te2'
_space_group_name_H-M_alt 'P 4/m m m'
_space_group_IT_number 123
_space_group_name_Hall '-P 4 2'
_cell_length_a 4.789
_cell_length_b 4.789
_cell_length_c 4.580
_cell_angle_alpha 90.00
_cell_angle_beta 90.00
_cell_angle_gamma 90.00
loop_
_atom_site_label
_atom_site_type_symbol
_atom_site_fract_x
_atom_site_fract_y
_atom_site_fract_z
Tl1 Tl 0.000 0.000 0.000
Ag1 Ag 0.500 0.500 0.000
Te1 Te 0.000 0.500 0.500
```

7.
VASP calculation (SCAN) on BaAuBr3 at its PBEsol-relaxed geometry.

Computed properties:
volume	46.4	Å³ per atom
formation energy (no corrections)	-0.607	eV/atom

The structure in CIF format:
```
data_BaAuBr3
_chemical_formula_sum 'Ba1 Au1 Br3'
_space_group_name_H-M_alt 'P m -3 m'
_space_group_IT_number 221
_space_group_name_Hall '-P 4 2 3'
_cell_length_a 6.146
_cell_length_b 6.146
_cell_length_c 6.146
_cell_angle_alpha 90.00
_cell_angle_beta 90.00
_cell_angle_gamma 90.00
loop_
_atom_site_label
_atom_site_type_symbol
_atom_site_fract_x
_atom_site_fract_y
_atom_site_fract_z
Ba1 Ba 0.000 0.000 0.000
Au1 Au 0.500 0.500 0.500
Br1 Br 0.000 0.000 0.500
```

8.
VASP calculation (SCAN) on Rb5Tc3S7 at its PBEsol-relaxed geometry.

Computed properties:
volume	27.7	Å³ per atom
formation energy (no corrections)	-1.074	eV/atom

The structure in CIF format:
```
data_Rb5Tc3S7
_chemical_formula_sum 'Rb20 Tc12 S28'
_space_group_name_H-M_alt 'C 1 m 1'
_space_group_IT_number 8
_cell_length_a 18.279
_cell_length_b 10.475
_cell_length_c 10.697
_cell_angle_alpha 90.00
_cell_angle_beta 125.81
_cell_angle_gamma 90.00
loop_
_space_group_symop_operation_xyz
'x,y,z'
'x,-y,z'
'x+1/2,y+1/2,z'
'x+1/2,-y+1/2,z'
loop_
_atom_site_label
_atom_site_type_symbol
_atom_site_fract_x
_atom_site_fract_y
_atom_site_fract_z
Rb1 Rb 0.000 0.000 0.000
Rb2 Rb 0.000 0.000 0.438
Rb3 Rb 0.046 0.307 0.764
Rb4 Rb 0.166 0.000 0.885
Rb5 Rb 0.184 0.000 0.403
Rb6 Rb 0.363 0.210 0.293
Rb7 Rb 0.363 0.210 0.870
Tc1 Tc 0.033 0.500 0.251
Tc2 Tc 0.157 0.375 0.254
Tc3 Tc 0.157 0.375 0.496
Tc4 Tc 0.281 0.500 0.500
S1 S 0.042 0.271 0.260
S2 S 0.043 0.500 0.037
S3 S 0.043 0.500 0.487
S4 S 0.153 0.202 0.103
S5 S 0.153 0.202 0.641
S6 S 0.270 0.500 0.264
S7 S 0.270 0.500 0.713
S8 S 0.273 0.274 0.492
S9 S 0.371 0.000 0.090
S10 S 0.445 0.500 0.664
```

9.
VASP calculation (SCAN) on ScAlTl2 at its PBEsol-relaxed geometry.

Computed properties:
relative energy among the computed polymorphs	237.4	meV per atom
DFT formation energy	0.26	eV/f.u.
volume	23.1	Å³ per atom

The structure in CIF format:
```
data_ScAlTl2
_chemical_formula_sum 'Sc2 Al2 Tl4'
_space_group_name_H-M_alt 'C m m m'
_space_group_IT_number 65
_space_group_name_Hall '-C 2 2'
_cell_length_a 3.482
_cell_length_b 5.519
_cell_length_c 9.626
_cell_angle_alpha 90.00
_cell_angle_beta 90.00
_cell_angle_gamma 90.00
loop_
_atom_site_label
_atom_site_type_symbol
_atom_site_fract_x
_atom_site_fract_y
_atom_site_fract_z
Sc1 Sc 0.000 0.000 0.000
Al1 Al 0.000 0.000 0.500
Tl1 Tl 0.000 0.500 0.258
```

10.
VASP calculation (SCAN) on Mg2ReIr at its PBEsol-relaxed geometry.

Computed properties:
relative energy among the computed polymorphs	109.7	meV per atom
DFT formation energy	0.35	eV/f.u.
volume	15.5	Å³ per atom

The structure in CIF format:
```
data_Mg2ReIr
_chemical_formula_sum 'Mg4 Re2 Ir2'
_space_group_name_H-M_alt 'I 4/m m m'
_space_group_IT_number 139
_space_group_name_Hall '-I 4 2'
_cell_length_a 3.805
_cell_length_b 3.805
_cell_length_c 8.549
_cell_angle_alpha 90.00
_cell_angle_beta 90.00
_cell_angle_gamma 90.00
loop_
_atom_site_label
_atom_site_type_symbol
_atom_site_fract_x
_atom_site_fract_y
_atom_site_fract_z
Mg1 Mg 0.000 0.500 0.250
Re1 Re 0.000 0.000 0.000
Ir1 Ir 0.000 0.000 0.500
```

11.
VASP calculation (SCAN) on Li2Mn2OF6 at its PBEsol-relaxed geometry.

Computed properties:
relative energy among the computed polymorphs	12.6	meV per atom
volume	11.4	Å³ per atom
formation energy (no corrections)	-2.788	eV/atom

The structure in CIF format:
```
data_Li2Mn2OF6
_chemical_formula_sum 'Li8 Mn8 O4 F24'
_space_group_name_H-M_alt 'C 1 2/c 1'
_space_group_IT_number 15
_cell_length_a 9.632
_cell_length_b 9.769
_cell_length_c 5.366
_cell_angle_alpha 90.00
_cell_angle_beta 97.18
_cell_angle_gamma 90.00
loop_
_space_group_symop_operation_xyz
'x,y,z'
'-x,-y,-z'
'-x,y,-z+1/2'
'x,-y,z+1/2'
'x+1/2,y+1/2,z'
'-x+1/2,-y+1/2,-z'
'-x+1/2,y+1/2,-z+1/2'
'x+1/2,-y+1/2,z+1/2'
loop_
_atom_site_label
_atom_site_type_symbol
_atom_site_fract_x
_atom_site_fract_y
_atom_site_fract_z
Li1 Li 0.165 0.141 0.441
Mn1 Mn 0.116 0.376 0.992
O1 O 0.000 0.477 0.750
F1 F 0.011 0.239 0.500
F2 F 0.231 0.024 0.075
F3 F 0.235 0.279 0.241
```

12.
VASP calculation (SCAN) on Na2AgSn2 at its PBEsol-relaxed geometry.

Computed properties:
DFT formation energy	-0.82	eV/f.u.
volume	25.5	Å³ per atom

The structure in CIF format:
```
data_Na2AgSn2
_chemical_formula_sum 'Na4 Ag2 Sn4'
_space_group_name_H-M_alt 'P 4/m b m'
_space_group_IT_number 127
_space_group_name_Hall '-P 4 2ab'
_cell_length_a 7.091
_cell_length_b 7.091
_cell_length_c 5.062
_cell_angle_alpha 90.00
_cell_angle_beta 90.00
_cell_angle_gamma 90.00
loop_
_atom_site_label
_atom_site_type_symbol
_atom_site_fract_x
_atom_site_fract_y
_atom_site_fract_z
Na1 Na 0.168 0.332 0.000
Ag1 Ag 0.000 0.000 0.500
Sn1 Sn 0.142 0.642 0.500
```

Result set for E_tot: -56.321, -30.913, -17.673, -19.215, -23.967, -44.397, -34.025, -19.492, -41.612, -37.949, -9.039, -22.492 eV/atom, one per record in the order listed.